First-principles (PBE) data for crystalline HfAgPd2 at its relaxed geometry, as listed in Alexandria.

Computed properties:
Its formation energy is -0.61 eV/f.u. Its excess energy over the best structure of this formula in the dataset is 153.9 kJ/mol of formula units. For the spin magnetization, the calculation gives 0.0 μB per cell.

a = 7.250 Å, b = 7.250 Å, c = 5.719 Å
α = 90.00°, β = 90.00°, γ = 90.00°
Atoms (fractional coordinates):
Hf (0.000, 0.000, 0.000)
Hf (0.000, 0.500, 0.250)
Hf (0.500, 0.000, 0.750)
Hf (0.500, 0.500, 0.500)
Ag (0.000, 0.000, 0.500)
Ag (0.000, 0.500, 0.750)
Ag (0.500, 0.000, 0.250)
Ag (0.500, 0.500, 0.000)
Pd (0.236, 0.250, 0.125)
Pd (0.250, 0.736, 0.375)
Pd (0.250, 0.764, 0.875)
Pd (0.264, 0.250, 0.625)
Pd (0.736, 0.750, 0.625)
Pd (0.750, 0.236, 0.875)
Pd (0.750, 0.264, 0.375)
Pd (0.764, 0.750, 0.125)